1.
{
  "formula": "LiAlAg",
  "functional": "meta-GGA SCAN",
  "state": "single point on PBEsol structure",
  "cell": [[2.7258, 0.0000, 0.0000], [0.0000, 4.3989, 0.0000], [0.0000, -2.1995, 3.8096]],
  "species": ["Al", "Ag", "Li"],
  "fractional_positions": [[0.6672, 0.3333, 0.6667], [0.0227, 0.0000, 0.0000], [0.3101, 0.6667, 0.3333]],
  "vol_a3_per_atom": 15.23,
  "delta_e_f_ev_per_atom": -0.22,
  "e_tot_ev_per_atom": -14.059,
  "dos_ef_per_ev_cell": 1.0,
  "magmom_total_mub_per_cell": 0.00,
  "relative_energy_mev_per_atom": 8
}

=====

2.
{
  "formula": "HfTe2WN",
  "functional": "meta-GGA SCAN",
  "state": "single point on PBEsol structure",
  "cell": [[3.8361, 0.0000, 0.0000], [0.0000, 5.5439, 0.0000], [0.0000, 0.0000, 5.5439]],
  "species": ["Te", "Te", "Hf", "W", "N"],
  "fractional_positions": [[0.0000, 0.0000, 0.5000], [0.0000, 0.5000, 0.0000], [0.0000, 0.0000, 0.0000], [0.5000, 0.5000, 0.5000], [0.5000, 0.0000, 0.0000]],
  "vol_a3_per_atom": 23.58,
  "e_tot_ev_per_atom": -42.396,
  "dos_ef_per_ev_cell": 2.5,
  "e_form_raw_mev_per_atom": 835,
  "magmom_total_mub_per_cell": 3.46
}